# 1
VASP calculation (GGA-PBE) on a relaxed Ho4CBr4Cl crystal.

Cell lengths 17.702, 3.754, 7.849 Å; angles 90.00, 102.65, 90.00 degrees
Space group C2/m (No. 12)
Symmetry-distinct sites (fractional):
Ho (0.001, 0.000, 0.293) x4
Ho (0.138, 0.500, 0.572) x4
C (0.000, 0.500, 0.500) x2
Br (0.163, 0.000, 0.848) x4
Br (0.170, 0.000, 0.321) x4
Cl (0.000, 0.500, 0.000) x2

Size of the total moment ... 0.05 μB per formula unit
V ... 509 Å³/cell
Electronic total energy ... -101.50 eV for the cell shown

---

# 2
VASP calculation (GGA-PBE) on a relaxed NaTlTc2F6 crystal.

Cell lengths 8.447, 8.447, 8.447 Å; angles 90.00, 90.00, 90.00 degrees
Space group Fm-3m (No. 225)
Symmetry-distinct sites (fractional):
Na (0.000, 0.000, 0.000) x4
Tl (0.000, 0.000, 0.500) x4
Tc (0.250, 0.250, 0.250) x8
F (0.000, 0.000, 0.244) x24

Size of the total moment ... 9.13 μB per formula unit
V ... 603 Å³/cell
Electronic total energy ... -176.82 eV for the cell shown

---

# 3
VASP calculation (GGA-PBE) on a relaxed DyTm2Mg3Ir2Pd crystal.

Cell lengths 3.990, 12.689, 7.301 Å; angles 90.00, 90.00, 90.00 degrees
Space group Amm2 (No. 38)
Symmetry-distinct sites (fractional):
Dy (0.000, 0.000, 0.000) x2
Tm (0.000, 0.207, 0.625) x4
Mg (0.500, 0.000, 0.667) x2
Mg (0.500, 0.125, 0.292) x4
Ir (0.500, 0.168, 0.916) x4
Pd (0.000, 0.000, 0.419) x2

Size of the total moment ... 0.01 μB per formula unit
V ... 370 Å³/cell
Electronic total energy ... -94.98 eV for the cell shown

---

# 4
VASP calculation (GGA-PBE) on a relaxed GeBiPd crystal.

Cell lengths 6.517, 6.517, 6.517 Å; angles 90.00, 90.00, 90.00 degrees
Space group F-43m (No. 216)
Symmetry-distinct sites (fractional):
Ge (0.000, 0.000, 0.000) x4
Bi (0.000, 0.000, 0.500) x4
Pd (0.250, 0.250, 0.750) x4

V ... 277 Å³/cell
Electronic total energy ... -57.17 eV for the cell shown

---

# 5
VASP calculation (GGA-PBE) on a relaxed NaCd2In2 crystal.

Cell lengths 4.609, 4.609, 12.978 Å; angles 90.00, 90.00, 90.00 degrees
Space group I4/mmm (No. 139)
Symmetry-distinct sites (fractional):
Na (0.000, 0.000, 0.000) x2
Cd (0.000, 0.000, 0.394) x4
In (0.000, 0.500, 0.250) x4

V ... 276 Å³/cell
Electronic total energy ... -17.51 eV for the cell shown

---

# 6
VASP calculation (GGA-PBE) on a relaxed DyHoAg2O4 crystal.

Cell lengths 3.4773, 3.4773, 12.4776 Å; angles 90.00, 90.00, 120.00 degrees
Space group P-3m1 (No. 164)
Symmetry-distinct sites (fractional):
Dy (0.0000, 0.0000, 0.0000) x1
Ho (0.0000, 0.0000, 0.5000) x1
Ag (0.3333, 0.6667, 0.2506) x2
O (0.3333, 0.6667, 0.0846) x2
O (0.3333, 0.6667, 0.4165) x2

Size of the total moment ... 0.00 μB per formula unit
V ... 131 Å³/cell
Electronic total energy ... -52.99 eV for the cell shown

---

# 7
VASP calculation (GGA-PBE) on a relaxed Ho2Sc2BI2Br3 crystal.

Cell lengths 20.074, 3.851, 8.113 Å; angles 90.00, 101.12, 90.00 degrees
Space group C2/m (No. 12)
Symmetry-distinct sites (fractional):
Ho (0.001, 0.000, 0.292) x4
Sc (0.118, 0.500, 0.565) x4
B (0.000, 0.500, 0.500) x2
I (0.160, 0.000, 0.329) x4
Br (0.000, 0.500, 0.000) x2
Br (0.147, 0.000, 0.811) x4

Size of the total moment ... 0.02 μB per formula unit
V ... 615 Å³/cell
Electronic total energy ... -98.04 eV for the cell shown

---

# 8
VASP calculation (GGA-PBE) on a relaxed ZrNbAu crystal.

Cell lengths 6.457, 6.457, 6.457 Å; angles 90.00, 90.00, 90.00 degrees
Space group F-43m (No. 216)
Symmetry-distinct sites (fractional):
Zr (0.000, 0.000, 0.000) x4
Nb (0.000, 0.000, 0.500) x4
Au (0.250, 0.250, 0.750) x4

ΔH_f (0 K) ... 0.96 eV per formula unit
Size of the total moment ... 0.02 μB per formula unit
V ... 269 Å³/cell

---

Which of these has the highest V?
Ho2Sc2BI2Br3

---

Among the records above, which one has the highest V?
Ho2Sc2BI2Br3

---

Which value of V does entry 3 give?
370 Å³/cell